<one>
This record from the Alexandria database describes a relaxed structure of Cd2SbN. The functional is PBE.

Structure (extended XYZ):
```
4
Lattice="0.0000 3.4767 3.4767 3.4767 0.0000 3.4767 3.4767 3.4767 0.0000" Properties=species:S:1:pos:R:3 pbc="T T T"
Cd 1.7383 1.7383 1.7383
Cd 5.2150 5.2150 5.2150
Sb 0.0000 0.0000 0.0000
N 3.4767 3.4767 3.4767
```

Properties
The calculation puts the mass density at 7.124 g/cm3. The calculation puts the calculated volume at 84 Å³ per cell. The value obtained for the density of states at the Fermi level is 0.3983 states/eV per atom.

<two>
This record from the Alexandria database describes a relaxed structure of Cd2SbN. The functional is PBE.

Structure (extended XYZ):
```
8
Lattice="-3.1232 3.1232 4.9311 3.1232 -3.1232 4.9311 3.1232 3.1232 -4.9311" Properties=species:S:1:pos:R:3 pbc="T T T"
Cd 4.6848 0.8584 -1.2328
Cd 0.8584 1.5616 1.2328
Cd -1.5616 2.2648 3.6983
Cd 2.2648 1.5616 6.1639
Sb 3.1232 0.0000 2.4656
Sb 0.0000 0.0000 4.9311
N 0.0000 0.0000 0.0000
N 0.0000 3.1232 2.4656
```

Properties
The calculation puts the mass density at 6.224 g/cm3. The calculation puts the calculated volume at 192 Å³ per cell. The value obtained for the density of states at the Fermi level is 0.1067 states/eV per atom.

Best to worst by energy: <two>, <one>.

<one>
This record from the Alexandria database describes a relaxed structure of Sc4Cd2N. The functional is PBE.

Structure (extended XYZ):
```
7
Lattice="-2.2368 2.2368 7.1828 2.2368 -2.2368 7.1828 2.2368 2.2368 -7.1828" Properties=species:S:1:pos:R:3 pbc="T T T"
Sc 2.2368 0.0000 0.0000
Sc 0.0000 0.0000 2.2941
Sc 0.0000 2.2368 0.0000
Sc 0.0000 0.0000 12.0714
Cd 0.0000 0.0000 5.2154
Cd 0.0000 0.0000 9.1502
N 0.0000 0.0000 0.0000
```

Properties
The calculation puts the mass density at 4.836 g/cm3. The calculation puts the calculated volume at 144 Å³ per cell. The value obtained for the density of states at the Fermi level is 1.3321 states/eV per atom.

<two>
This record from the Alexandria database describes a relaxed structure of Sc4Cd2N. The functional is PBE.

Structure (extended XYZ):
```
7
Lattice="2.4439 -10.9198 0.0000 2.4439 10.9198 0.0000 0.0000 0.0000 3.0592" Properties=species:S:1:pos:R:3 pbc="T T T"
Sc 2.4439 9.4654 0.0000
Sc 2.4439 6.4754 1.5296
Sc 2.4439 -6.4754 1.5296
Sc 2.4439 -9.4654 0.0000
Cd 2.4439 3.4377 0.0000
Cd 2.4439 -3.4377 0.0000
N 0.0000 0.0000 1.5296
```

Properties
The calculation puts the mass density at 4.258 g/cm3. The calculation puts the calculated volume at 163 Å³ per cell. The value obtained for the density of states at the Fermi level is 0.7935 states/eV per atom.

Best to worst by energy: <one>, <two>.